<i>
BeTl2As | GGA-PBE | relaxed Values from VASP.

Geometry as Quantum ESPRESSO input:
```
&SYSTEM
  ibrav = 0, nat = 4, ntyp = 3
/
ATOMIC_SPECIES
Tl 204.38 Tl.upf
As 74.92 As.upf
Be 9.01 Be.upf
ATOMIC_POSITIONS crystal
Tl 0.5276 0.5276 0.0000
Tl 0.9724 0.9724 0.0000
As 0.2500 0.7500 0.5000
Be 0.7500 0.2500 0.5000
CELL_PARAMETERS angstrom
5.2823 0.0227 -0.0620
0.7420 5.2300 0.0620
-2.3321 -3.4063 3.2963
```

Properties
size of the total moment	0.00	μB per formula unit
SG	No. 71

***

<ii>
BeTl2As | GGA-PBE | relaxed Values from VASP.

Geometry as Quantum ESPRESSO input:
```
&SYSTEM
  ibrav = 0, nat = 4, ntyp = 3
/
ATOMIC_SPECIES
Be 9.01 Be.upf
As 74.92 As.upf
Tl 204.38 Tl.upf
ATOMIC_POSITIONS crystal
Be 0.0000 0.0000 0.0000
As 0.5000 0.5000 0.5000
Tl 0.2500 0.2500 0.2500
Tl 0.7500 0.7500 0.7500
CELL_PARAMETERS angstrom
0.0000 3.6185 3.6185
3.6185 0.0000 3.6185
3.6185 3.6185 0.0000
```

Properties
size of the total moment	0.00	μB per formula unit
SG	No. 225

***

Most stable to least stable, the ends of the list are <i> and <ii>.